1.
A relaxed Ba2Zn4Au5 crystal, computed with PBE-GGA.

- ΔE_f: -0.3764 eV/atom
- Total energy: -58.937 eV for the cell shown

a b c (Å): 13.0819 6.0033 8.7639
angles (deg): 90.00 130.61 90.00
Space group C2/m (No. 12)
One atom of each set of equivalent atoms:
Ba (0.2186, 0.0000, 0.2771) (multiplicity 4)
Zn (0.1206, 0.0000, 0.5649) (multiplicity 4)
Zn (0.2286, 0.5000, 0.0639) (multiplicity 4)
Au (0.0000, 0.5000, 0.0000) (multiplicity 2)
Au (0.0416, 0.2530, 0.7542) (multiplicity 8)

---

2.
A relaxed BaZnAu11 crystal, computed with PBE-GGA.

- ΔE_f: -0.2265 eV/atom
- Total energy: -84.383 eV for the cell shown

a b c (Å): 5.5969 13.2599 7.4329
angles (deg): 90.00 109.05 90.00
Space group C2/m (No. 12)
One atom of each set of equivalent atoms:
Ba (0.0000, 0.0000, 0.0000) (multiplicity 2)
Zn (0.0000, 0.5000, 0.5000) (multiplicity 2)
Au (0.0000, 0.0000, 0.5000) (multiplicity 2)
Au (0.0944, 0.3901, 0.2345) (multiplicity 8)
Au (0.1534, 0.1772, 0.3502) (multiplicity 8)
Au (0.2500, 0.2500, 0.0000) (multiplicity 4)

---

3.
A relaxed BaZnAu6 crystal, computed with PBE-GGA.

- ΔE_f: -0.3066 eV/atom
- Total energy: -75.940 eV for the cell shown

a b c (Å): 6.9892 6.9892 13.2566
angles (deg): 90.00 90.00 120.00
Space group R-3m (No. 166, hexagonal axes)
One atom of each set of equivalent atoms:
Ba (0.0000, 0.0000, 0.0000) (multiplicity 3)
Zn (0.0000, 0.0000, 0.5000) (multiplicity 3)
Au (0.0675, 0.5337, 0.8972) (multiplicity 18)

---

4.
A relaxed BaZn2Au crystal, computed with PBE-GGA.

- ΔE_f: 0.0108 eV/atom
- Total energy: -15.409 eV for the cell shown

a b c (Å): 6.2227 11.4041 4.5082
angles (deg): 90.00 133.39 90.00
Space group C2/m (No. 12)
One atom of each set of equivalent atoms:
Ba (0.0000, 0.0000, 0.0000) (multiplicity 2)
Zn (0.2500, 0.2500, 0.5000) (multiplicity 4)
Au (0.0000, 0.5000, 0.0000) (multiplicity 2)

---

5.
A relaxed Ba2ZnAu4 crystal, computed with PBE-GGA.

- ΔE_f: -0.5146 eV/atom
- Total energy: -43.662 eV for the cell shown

a b c (Å): 5.0401 5.0401 16.6951
angles (deg): 90.00 90.00 90.00
Space group I4/mmm (No. 139)
One atom of each set of equivalent atoms:
Ba (0.0000, 0.0000, 0.1415) (multiplicity 4)
Zn (0.0000, 0.0000, 0.5000) (multiplicity 2)
Au (0.0000, 0.0000, 0.3412) (multiplicity 4)
Au (0.0000, 0.5000, 0.0000) (multiplicity 4)

---

6.
A relaxed BaZn2Au crystal, computed with PBE-GGA.

- ΔE_f: -0.3905 eV/atom
- Total energy: -18.620 eV for the cell shown

a b c (Å): 7.9116 4.5599 6.3586
angles (deg): 90.00 114.36 90.00
Space group Cm (No. 8)
One atom of each set of equivalent atoms:
Ba (0.0000, 0.0000, 0.0000) (multiplicity 2)
Zn (0.0093, 0.5000, 0.5280) (multiplicity 2)
Zn (0.3072, 0.5000, 0.4214) (multiplicity 2)
Au (0.1952, 0.0000, 0.5858) (multiplicity 2)

---

7.
A relaxed BaZnAu2 crystal, computed with PBE-GGA.

- ΔE_f: -0.4803 eV/atom
- Total energy: -23.345 eV for the cell shown

a b c (Å): 5.6079 8.7624 4.6652
angles (deg): 90.00 90.00 90.00
Space group Cmmm (No. 65)
One atom of each set of equivalent atoms:
Ba (0.0000, 0.0000, 0.0000) (multiplicity 2)
Zn (0.0000, 0.5000, 0.5000) (multiplicity 2)
Au (0.2500, 0.2500, 0.5000) (multiplicity 4)

---

8.
A relaxed Ba4ZnAu2 crystal, computed with PBE-GGA.

- ΔE to the lowest computed polymorph: 0.000 eV per atom
- ΔE_f: -0.4551 eV/atom
- Total energy: -74.821 eV for the cell shown

a b c (Å): 13.1266 10.2290 8.9018
angles (deg): 90.00 109.52 90.00
Space group Cm (No. 8)
One atom of each set of equivalent atoms:
Ba (0.0000, 0.0000, 0.0000) (multiplicity 2)
Ba (0.0020, 0.5000, 0.4906) (multiplicity 2)
Ba (0.0070, 0.5000, 0.0099) (multiplicity 2)
Ba (0.2652, 0.2550, 0.6321) (multiplicity 4)
Ba (0.2743, 0.2563, 0.1371) (multiplicity 4)
Ba (0.4971, 0.5000, 0.4937) (multiplicity 2)
Zn (0.2058, 0.0000, 0.3534) (multiplicity 2)
Zn (0.2174, 0.0000, 0.8549) (multiplicity 2)
Au (0.0615, 0.2385, 0.2789) (multiplicity 4)
Au (0.2184, 0.5000, 0.8572) (multiplicity 2)
Au (0.2189, 0.5000, 0.3604) (multiplicity 2)

---

9.
A relaxed Ba7Zn2Au2 crystal, computed with PBE-GGA.

- ΔE_f: -0.2248 eV/atom
- Total energy: -50.069 eV for the cell shown

a b c (Å): 8.9896 12.8553 8.3035
angles (deg): 90.00 90.00 90.00
Space group Cmmm (No. 65)
One atom of each set of equivalent atoms:
Ba (0.0000, 0.0000, 0.0000) (multiplicity 2)
Ba (0.0000, 0.5000, 0.2569) (multiplicity 4)
Ba (0.2500, 0.2500, 0.2702) (multiplicity 8)
Zn (0.1498, 0.0000, 0.5000) (multiplicity 4)
Au (0.0000, 0.2943, 0.0000) (multiplicity 4)

---

10.
A relaxed BaZn2Au crystal, computed with PBE-GGA.

- ΔE_f: -0.3324 eV/atom
- Total energy: -9.078 eV for the cell shown

a b c (Å): 4.6679 4.7300 5.0925
angles (deg): 90.00 90.42 90.00
Space group P2/m (No. 10)
One atom of each set of equivalent atoms:
Ba (0.0000, 0.0000, 0.0000) (multiplicity 1)
Zn (0.4966, 0.5000, 0.7481) (multiplicity 2)
Au (0.5000, 0.0000, 0.5000) (multiplicity 1)

---

11.
A relaxed BaZn4Au2 crystal, computed with PBE-GGA.

- ΔE_f: -0.3603 eV/atom
- Total energy: -64.381 eV for the cell shown

a b c (Å): 17.6105 4.4565 7.6189
angles (deg): 90.00 90.00 90.00
Space group Pnma (No. 62)
One atom of each set of equivalent atoms:
Ba (0.1117, 0.2500, 0.0096) (multiplicity 4)
Zn (0.0490, 0.7500, 0.6867) (multiplicity 4)
Zn (0.0917, 0.2500, 0.4888) (multiplicity 4)
Zn (0.1926, 0.7500, 0.3390) (multiplicity 4)
Zn (0.1997, 0.7500, 0.7035) (multiplicity 4)
Au (0.0384, 0.7500, 0.3134) (multiplicity 4)
Au (0.2392, 0.2500, 0.5229) (multiplicity 4)

---

12.
A relaxed BaZn2Au crystal, computed with PBE-GGA.

- ΔE_f: -0.1604 eV/atom
- Total energy: -33.558 eV for the cell shown

a b c (Å): 7.2716 7.2716 7.2716
angles (deg): 90.00 90.00 90.00
Space group Fm-3m (No. 225)
One atom of each set of equivalent atoms:
Ba (0.0000, 0.0000, 0.0000) (multiplicity 4)
Zn (0.2500, 0.2500, 0.2500) (multiplicity 8)
Au (0.0000, 0.0000, 0.5000) (multiplicity 4)

---

| no. | total magnetic moment (μB per formula unit) | density of states at the Fermi level (states/eV/f.u.) |
| --- | --- | --- |
| 1 | 0.00 | 4.7 |
| 2 | 0.00 | 4.1 |
| 3 | 0.00 | 3.1 |
| 4 | 0.00 | 2.7 |
| 5 | 0.00 | 1.6 |
| 6 | 0.00 | 1.9 |
| 7 | 0.00 | 2.2 |
| 8 | 0.00 | 5.7 |
| 9 | 0.00 | 14.4 |
| 10 | 0.00 | 2.0 |
| 11 | 0.00 | 3.3 |
| 12 | 0.00 | 3.1 |